1.
# Ta5TcOs4 GGA-PBE optimized geometry
# Formation enthalpy at 0 K ... -278.1 meV per atom
data_Ta5TcOs4
_symmetry_space_group_name_H-M 'P 4/m m m'
_symmetry_Int_Tables_number 123
_symmetry_space_group_name_Hall '-P 4 2'
_cell_length_a 3.226
_cell_length_b 3.226
_cell_length_c 15.586
_cell_angle_alpha 90.00
_cell_angle_beta 90.00
_cell_angle_gamma 90.00
loop_
_atom_site_label
_atom_site_type_symbol
_atom_site_fract_x
_atom_site_fract_y
_atom_site_fract_z
Ta1 Ta 0.000 0.000 0.000
Ta2 Ta 0.000 0.000 0.199
Ta3 Ta 0.000 0.000 0.401
Tc1 Tc 0.500 0.500 0.500
Os1 Os 0.500 0.500 0.099
Os2 Os 0.500 0.500 0.298


2.
# AgTeO2 GGA-PBE optimized geometry
# Uncorrected formation energy ... 0.3 eV/f.u.
# E above lowest polymorph ... 0.3671 eV per atom
data_AgTeO2
_symmetry_space_group_name_H-M 'F m -3 m'
_symmetry_Int_Tables_number 225
_symmetry_space_group_name_Hall '-F 4 2 3'
_cell_length_a 5.996
_cell_length_b 5.996
_cell_length_c 5.996
_cell_angle_alpha 90.00
_cell_angle_beta 90.00
_cell_angle_gamma 90.00
loop_
_atom_site_label
_atom_site_type_symbol
_atom_site_fract_x
_atom_site_fract_y
_atom_site_fract_z
Ag1 Ag 0.000 0.000 0.000
Te1 Te 0.000 0.000 0.500
O1 O 0.250 0.250 0.250


3.
# Pa3Ga12Au GGA-PBE optimized geometry
# Formation enthalpy at 0 K ... -273.8 meV per atom
data_Pa3Ga12Au
_symmetry_space_group_name_H-M 'P 4/m m m'
_symmetry_Int_Tables_number 123
_symmetry_space_group_name_Hall '-P 4 2'
_cell_length_a 4.316
_cell_length_b 4.316
_cell_length_c 16.607
_cell_angle_alpha 90.00
_cell_angle_beta 90.00
_cell_angle_gamma 90.00
loop_
_atom_site_label
_atom_site_type_symbol
_atom_site_fract_x
_atom_site_fract_y
_atom_site_fract_z
Pa1 Pa 0.000 0.000 0.000
Pa2 Pa 0.000 0.000 0.258
Ga1 Ga 0.000 0.500 0.129
Ga2 Ga 0.000 0.500 0.389
Ga3 Ga 0.500 0.500 0.000
Ga4 Ga 0.500 0.500 0.248
Ga5 Ga 0.500 0.500 0.500
Au1 Au 0.000 0.000 0.500


4.
# Cs2GeSb GGA-PBE optimized geometry
# Uncorrected formation energy ... -0.4 eV/f.u.
# E above lowest polymorph ... 0.1962 eV per atom
data_Cs2GeSb
_symmetry_space_group_name_H-M 'P 1 21/c 1'
_symmetry_Int_Tables_number 14
_symmetry_space_group_name_Hall '-P 2ybc'
_cell_length_a 12.217
_cell_length_b 7.080
_cell_length_c 9.917
_cell_angle_alpha 90.00
_cell_angle_beta 101.14
_cell_angle_gamma 90.00
loop_
_atom_site_label
_atom_site_type_symbol
_atom_site_fract_x
_atom_site_fract_y
_atom_site_fract_z
Cs1 Cs 0.170 0.241 0.168
Cs2 Cs 0.303 0.621 0.956
Ge1 Ge 0.409 0.096 0.978
Sb1 Sb 0.496 0.248 0.748


5.
# Pm3Tm2Sc2 GGA-PBE optimized geometry
# Formation enthalpy at 0 K ... 49.1 meV per atom
# E above lowest polymorph ... 0.0000 eV per atom
data_Pm3Tm2Sc2
_symmetry_space_group_name_H-M 'C 1 2/m 1'
_symmetry_Int_Tables_number 12
_symmetry_space_group_name_Hall '-C 2y'
_cell_length_a 10.968
_cell_length_b 4.954
_cell_length_c 7.845
_cell_angle_alpha 90.00
_cell_angle_beta 98.49
_cell_angle_gamma 90.00
loop_
_atom_site_label
_atom_site_type_symbol
_atom_site_fract_x
_atom_site_fract_y
_atom_site_fract_z
Pm1 Pm 0.000 0.000 0.000
Pm2 Pm 0.144 0.000 0.430
Tm1 Tm 0.071 0.500 0.722
Sc1 Sc 0.217 0.500 0.137


6.
# PmEr5Rh4 GGA-PBE optimized geometry
# Formation enthalpy at 0 K ... -751.1 meV per atom
# E above lowest polymorph ... 0.0000 eV per atom
data_PmEr5Rh4
_symmetry_space_group_name_H-M 'P 4/m m m'
_symmetry_Int_Tables_number 123
_symmetry_space_group_name_Hall '-P 4 2'
_cell_length_a 3.408
_cell_length_b 3.408
_cell_length_c 19.119
_cell_angle_alpha 90.00
_cell_angle_beta 90.00
_cell_angle_gamma 90.00
loop_
_atom_site_label
_atom_site_type_symbol
_atom_site_fract_x
_atom_site_fract_y
_atom_site_fract_z
Pm1 Pm 0.000 0.000 0.000
Er1 Er 0.500 0.500 0.148
Er2 Er 0.500 0.500 0.322
Er3 Er 0.500 0.500 0.500
Rh1 Rh 0.000 0.000 0.231
Rh2 Rh 0.000 0.000 0.411


Number 1: volume 16.2 Å³/atom. Number 2: volume 13.5 Å³/atom. Number 3: volume 19.3 Å³/atom. Number 4: volume 52.6 Å³/atom. Number 5: volume 30.1 Å³/atom. Number 6: volume 22.2 Å³/atom.